The following is a GGA-PBE calculation of crystalline Dy3Pa2Rh4 at its relaxed geometry, from Alexandria.

* calculated density: 10.849 Mg/m³
* symmetry: C2/m, No. 12
* uncorrected energy: -7.623 eV/atom
* ΔE_f: -6.4 eV per formula unit

The structure in CIF format:
```
data_Dy3Pa2Rh4
_chemical_formula_sum 'Dy3 Pa2 Rh4'
_cell_length_a 3.898
_cell_length_b 6.057
_cell_length_c 9.408
_cell_angle_alpha 97.38
_cell_angle_beta 90.00
_cell_angle_gamma 108.77
_symmetry_space_group_name_H-M 'P 1'
_symmetry_Int_Tables_number 1
_symmetry_space_group_name_Hall 'P 1'
loop_
_atom_site_label
_atom_site_type_symbol
_atom_site_fract_x
_atom_site_fract_y
_atom_site_fract_z
_atom_site_occupancy
Dy1 Dy 0.378 0.756 0.613 1
Dy2 Dy 0.000 0.000 0.000 1
Dy3 Dy 0.622 0.244 0.387 1
Pa1 Pa 0.317 0.635 0.220 1
Pa2 Pa 0.683 0.365 0.780 1
Rh1 Rh 0.689 0.378 0.081 1
Rh2 Rh 0.084 0.168 0.620 1
Rh3 Rh 0.916 0.832 0.380 1
Rh4 Rh 0.311 0.622 0.919 1
```